Arrangement a

Crystalline Mg2P at its relaxed geometry, computed with PBE-GGA.

a = 8.825 Å, b = 6.850 Å, c = 4.431 Å
α = 90.00°, β = 100.69°, γ = 90.00°
Element x y z (fractional)
Mg: 0.710 0.150 0.063
Mg: 0.500 0.292 0.500
P: 0.807 0.295 0.608
Mg: 0.000 0.009 0.500
Mg: 0.290 0.150 0.937
Mg: 0.710 0.650 0.563
Mg: 0.500 0.792 0.000
Mg: 0.000 0.509 0.000
Mg: 0.290 0.650 0.437
P: 0.193 0.295 0.392
P: 0.807 0.795 0.108
P: 0.193 0.795 0.892

Computed properties:
Symmetry = C2 (5)
Total moment = 0.00 μB per cell


Arrangement b

Crystalline Mg2P at its relaxed geometry, computed with PBE-GGA.

a = 3.960 Å, b = 6.054 Å, c = 5.220 Å
α = 90.00°, β = 90.00°, γ = 90.00°
Element x y z (fractional)
P: 0.500 0.218 0.110
Mg: 0.500 0.073 0.608
P: 0.000 0.782 0.610
Mg: 0.000 0.435 0.901
Mg: 0.500 0.565 0.401
Mg: 0.000 0.927 0.108

Computed properties:
Symmetry = Pmn2_1 (31)
Total moment = 0.00 μB per cell


Arrangement c

Crystalline Mg2P at its relaxed geometry, computed with PBE-GGA.

a = 5.832 Å, b = 5.832 Å, c = 10.290 Å
α = 90.00°, β = 90.00°, γ = 120.00°
Element x y z (fractional)
Mg: 0.000 0.000 0.000
Mg: 0.171 0.829 0.750
Mg: 0.000 0.000 0.500
P: 0.333 0.667 0.942
Mg: 0.829 0.658 0.250
Mg: 0.658 0.829 0.750
P: 0.667 0.333 0.058
P: 0.667 0.333 0.442
Mg: 0.829 0.171 0.250
Mg: 0.342 0.171 0.250
P: 0.333 0.667 0.558
Mg: 0.171 0.342 0.750

Computed properties:
Symmetry = P6_3/mmc (194)
Total moment = 0.00 μB per cell


Which of them is the most stable, and which is the least stable? arrangement a and arrangement c, in that order.


Arrangement a

Crystalline MgP5 at its relaxed geometry, computed with PBE-GGA.

a = 6.808 Å, b = 6.808 Å, c = 3.410 Å
α = 90.00°, β = 90.00°, γ = 139.20°
Element x y z (fractional)
P: 0.867 0.133 0.000
Mg: 0.500 0.500 0.000
P: 0.252 0.748 0.500
P: 0.133 0.867 0.000
P: 0.748 0.252 0.500
P: 0.000 0.000 0.500

Computed properties:
Symmetry = Cmmm (65)
Total moment = 0.00 μB per cell


Arrangement b

Crystalline MgP5 at its relaxed geometry, computed with PBE-GGA.

a = 5.353 Å, b = 5.353 Å, c = 6.363 Å
α = 75.38°, β = 75.38°, γ = 35.88°
Element x y z (fractional)
P: 0.696 0.696 0.397
P: 0.202 0.202 0.934
P: 0.382 0.382 0.336
Mg: 0.918 0.918 0.938
P: 0.630 0.630 0.761
P: 0.005 0.005 0.467

Computed properties:
Symmetry = Cm (8)
Total moment = 0.00 μB per cell


Which of them is the most stable, and which is the least stable? arrangement b and arrangement a, in that order.


Arrangement a

Crystalline MgPPb at its relaxed geometry, computed with PBE-GGA.

a = 4.799 Å, b = 4.799 Å, c = 4.799 Å
α = 60.00°, β = 60.00°, γ = 60.00°
Element x y z (fractional)
Mg: 0.500 0.500 0.500
P: 0.750 0.750 0.750
Pb: 0.000 0.000 0.000

Computed properties:
Symmetry = F-43m (216)
Total moment = 0.00 μB per cell


Arrangement b

Crystalline MgPPb at its relaxed geometry, computed with PBE-GGA.

a = 4.220 Å, b = 4.220 Å, c = 10.113 Å
α = 77.96°, β = 77.96°, γ = 60.00°
Element x y z (fractional)
Pb: 0.878 0.878 0.367
Pb: 0.122 0.122 0.633
Mg: 0.634 0.634 0.099
P: 0.725 0.725 0.824
Mg: 0.366 0.366 0.901
P: 0.275 0.275 0.176

Computed properties:
Symmetry = R-3m (166)
Total moment = 0.00 μB per cell


Arrangement c

Crystalline MgPPb at its relaxed geometry, computed with PBE-GGA.

a = 4.064 Å, b = 4.064 Å, c = 5.237 Å
α = 90.00°, β = 90.00°, γ = 120.00°
Element x y z (fractional)
Mg: 0.000 0.000 0.091
P: 0.333 0.667 0.286
Pb: 0.667 0.333 0.623

Computed properties:
Symmetry = P3m1 (156)
Total moment = 0.00 μB per cell


Arrangement d

Crystalline MgPPb at its relaxed geometry, computed with PBE-GGA.

a = 6.593 Å, b = 6.593 Å, c = 6.593 Å
α = 150.16°, β = 146.18°, γ = 45.72°
Element x y z (fractional)
P: 0.426 0.426 0.000
Pb: 0.649 0.649 0.000
Mg: 0.925 0.925 0.000

Computed properties:
Symmetry = Imm2 (44)
Total moment = 0.00 μB per cell


Which of them is the most stable, and which is the least stable? arrangement b and arrangement a, in that order.


Arrangement a

Crystalline MgPPbS2 at its relaxed geometry, computed with PBE-GGA.

a = 4.875 Å, b = 4.875 Å, c = 4.873 Å
α = 90.00°, β = 90.00°, γ = 90.00°
Element x y z (fractional)
Pb: 0.500 0.500 0.500
S: 0.000 0.500 0.000
S: 0.500 0.000 0.000
Mg: 0.000 0.000 0.000
P: 0.000 0.000 0.500

Computed properties:
Symmetry = P4/mmm (123)
Total moment = 0.52 μB per cell


Arrangement b

Crystalline MgPPbS2 at its relaxed geometry, computed with PBE-GGA.

a = 4.884 Å, b = 4.739 Å, c = 4.884 Å
α = 90.00°, β = 90.00°, γ = 90.00°
Element x y z (fractional)
S: 0.000 0.000 0.500
Mg: 0.000 0.500 0.000
P: 0.000 0.000 0.000
Pb: 0.500 0.500 0.500
S: 0.500 0.000 0.000

Computed properties:
Symmetry = P4/mmm (123)
Total moment = 0.00 μB per cell


Which of them is the most stable, and which is the least stable? arrangement b and arrangement a, in that order.


Arrangement a

Crystalline Mg3PPd at its relaxed geometry, computed with PBE-GGA.

a = 4.879 Å, b = 4.879 Å, c = 4.879 Å
α = 90.00°, β = 90.00°, γ = 90.00°
Element x y z (fractional)
P: 0.500 0.500 0.500
Mg: 0.000 0.500 0.000
Mg: 0.500 0.000 0.000
Mg: 0.000 0.000 0.500
Pd: 0.000 0.000 0.000

Computed properties:
Symmetry = Pm-3m (221)
Total moment = 0.00 μB per cell


Arrangement b

Crystalline Mg3PPd at its relaxed geometry, computed with PBE-GGA.

a = 4.791 Å, b = 4.791 Å, c = 4.791 Å
α = 90.00°, β = 90.00°, γ = 90.00°
Element x y z (fractional)
Mg: 0.000 0.000 0.500
Mg: 0.500 0.000 0.000
P: 0.000 0.000 0.000
Pd: 0.500 0.500 0.500
Mg: 0.000 0.500 0.000

Computed properties:
Symmetry = Pm-3m (221)
Total moment = 0.00 μB per cell


Which of them is the most stable, and which is the least stable? arrangement b and arrangement a, in that order.


Arrangement a

Crystalline Mg2PPd5 at its relaxed geometry, computed with PBE-GGA.

a = 4.120 Å, b = 5.543 Å, c = 10.554 Å
α = 90.00°, β = 90.00°, γ = 90.00°
Element x y z (fractional)
Pd: 0.000 0.416 0.772
Pd: 0.000 0.084 0.272
Mg: 0.500 0.152 0.853
P: 0.000 0.000 0.500
Mg: 0.500 0.848 0.147
Pd: 0.000 0.916 0.728
Pd: 0.000 0.000 0.000
Mg: 0.500 0.348 0.353
Pd: 0.500 0.177 0.597
Pd: 0.500 0.823 0.403
Pd: 0.000 0.500 0.500
Pd: 0.000 0.584 0.228
Pd: 0.500 0.323 0.097
Mg: 0.500 0.652 0.647
Pd: 0.500 0.677 0.903
P: 0.000 0.500 0.000

Computed properties:
Symmetry = Pbam (55)
Total moment = 0.00 μB per cell


Arrangement b

Crystalline Mg2PPd5 at its relaxed geometry, computed with PBE-GGA.

a = 4.470 Å, b = 5.770 Å, c = 5.770 Å
α = 90.00°, β = 90.00°, γ = 90.00°
Element x y z (fractional)
Pd: 0.000 0.271 0.729
Pd: 0.500 0.000 0.000
Mg: 0.500 0.000 0.500
Pd: 0.000 0.729 0.271
Mg: 0.500 0.500 0.000
Pd: 0.000 0.729 0.729
P: 0.000 0.000 0.000
Pd: 0.000 0.271 0.271

Computed properties:
Symmetry = P4/mmm (123)
Total moment = 0.00 μB per cell


Which of them is the most stable, and which is the least stable? arrangement a and arrangement b, in that order.


Arrangement a

Crystalline MgPPd5 at its relaxed geometry, computed with PBE-GGA.

a = 5.368 Å, b = 5.368 Å, c = 9.371 Å
α = 69.34°, β = 69.34°, γ = 86.41°
Element x y z (fractional)
Pd: 0.408 0.758 0.985
Mg: 0.242 0.758 0.750
Pd: 0.758 0.408 0.485
Pd: 0.647 0.745 0.216
Pd: 0.890 0.110 0.750
Pd: 0.745 0.647 0.716
P: 0.000 0.000 0.500
Pd: 0.592 0.242 0.015
Pd: 0.255 0.353 0.284
Pd: 0.242 0.592 0.515
P: 0.000 0.000 0.000
Pd: 0.110 0.890 0.250
Pd: 0.353 0.255 0.784
Mg: 0.758 0.242 0.250

Computed properties:
Symmetry = C2/c (15)
Total moment = 0.00 μB per cell


Arrangement b

Crystalline MgPPd5 at its relaxed geometry, computed with PBE-GGA.

a = 3.943 Å, b = 3.943 Å, c = 6.958 Å
α = 90.00°, β = 90.00°, γ = 90.00°
Element x y z (fractional)
Pd: 0.000 0.500 0.296
Mg: 0.000 0.000 0.000
Pd: 0.500 0.000 0.296
Pd: 0.000 0.500 0.704
P: 0.500 0.500 0.500
Pd: 0.500 0.500 0.000
Pd: 0.500 0.000 0.704

Computed properties:
Symmetry = P4/mmm (123)
Total moment = 0.00 μB per cell


Which of them is the most stable, and which is the least stable? arrangement b and arrangement a, in that order.


Arrangement a

Crystalline MgP2PdS at its relaxed geometry, computed with PBE-GGA.

a = 4.738 Å, b = 4.738 Å, c = 4.645 Å
α = 90.00°, β = 90.00°, γ = 90.00°
Element x y z (fractional)
Pd: 0.500 0.500 0.500
S: 0.000 0.000 0.500
Mg: 0.000 0.000 0.000
P: 0.000 0.500 0.000
P: 0.500 0.000 0.000

Computed properties:
Symmetry = P4/mmm (123)
Total moment = 0.00 μB per cell


Arrangement b

Crystalline MgP2PdS at its relaxed geometry, computed with PBE-GGA.

a = 4.578 Å, b = 4.578 Å, c = 5.123 Å
α = 90.00°, β = 90.00°, γ = 90.00°
Element x y z (fractional)
P: 0.000 0.500 0.000
Mg: 0.500 0.500 0.500
Pd: 0.000 0.000 0.000
P: 0.500 0.000 0.000
S: 0.000 0.000 0.500

Computed properties:
Symmetry = P4/mmm (123)
Total moment = 1.04 μB per cell


Which of them is the most stable, and which is the least stable? arrangement b and arrangement a, in that order.